[1]
Material: NaNbAl2
Method: DFT, meta-GGA SCAN
State: PBEsol geometry

For the energy, the calculation gives -12.60 eV per atom. The crystal system is tetragonal. As for the space group: I-42d (122).

abc: 5.885 5.885 5.885
angles: 104.47 104.47 120.02
Sites, in units of the cell vectors:
Na1 0.500 0.500 0.000
Na2 0.750 0.250 0.500
Nb1 0.000 0.000 0.000
Nb2 0.250 0.750 0.500
Al1 0.875 0.875 0.500
Al2 0.375 0.375 0.500
Al3 0.125 0.625 0.000
Al4 0.625 0.125 0.000

[2]
Material: Na2AlNi2
Method: DFT, meta-GGA SCAN
State: PBEsol geometry

For the energy, the calculation gives -9.16 eV per atom. The crystal system is tetragonal. As for the space group: I4/mmm (139).

abc: 3.432 3.432 7.115
angles: 103.96 103.96 90.00
Sites, in units of the cell vectors:
Ni1 0.417 0.417 0.834
Ni2 0.583 0.583 0.166
Al1 0.000 0.000 0.000
Na1 0.250 0.750 0.500
Na2 0.750 0.250 0.500

[3]
Material: Na2AlSiNi
Method: DFT, meta-GGA SCAN
State: PBEsol geometry

For the energy, the calculation gives -7.55 eV per atom. The crystal system is tetragonal. As for the space group: P4/mmm (123). For the raw formation energy, the calculation gives 0.924 eV per atom.

abc: 4.304 5.306 5.306
angles: 90.00 90.00 90.00
Sites, in units of the cell vectors:
Ni1 0.500 0.000 0.000
Si1 0.500 0.500 0.500
Al1 0.000 0.000 0.000
Na1 0.000 0.000 0.500
Na2 0.000 0.500 0.000

[4]
Material: Na14Al4O13
Method: DFT, meta-GGA SCAN
State: PBEsol geometry

For the energy, the calculation gives -7.71 eV per atom. The crystal system is monoclinic. As for the space group: P2_1/c (14). For the raw formation energy, the calculation gives -2.189 eV per atom.

abc: 5.951 5.952 27.140
angles: 90.00 90.00 119.58
Sites, in units of the cell vectors:
Na1 0.651 0.501 0.554
Na2 0.254 0.966 0.611
Na3 0.233 0.465 0.000
Na4 0.767 0.035 0.500
Na5 0.767 0.535 0.000
Na6 0.233 0.965 0.500
Na7 0.784 0.535 0.888
Na8 0.216 0.965 0.388
Na9 0.216 0.465 0.112
Na10 0.784 0.035 0.612
Na11 0.746 0.034 0.389
Na12 0.254 0.466 0.889
Na13 0.784 0.060 0.725
Na14 0.216 0.440 0.225
Na15 0.216 0.940 0.275
Na16 0.784 0.560 0.775
Na17 0.368 0.507 0.661
Na18 0.632 0.993 0.161
Na19 0.210 0.451 0.782
Na20 0.368 0.007 0.839
Na21 0.632 0.493 0.339
Na22 0.349 0.999 0.054
Na23 0.349 0.499 0.446
Na24 0.651 0.001 0.946
Na25 0.210 0.951 0.718
Na26 0.790 0.549 0.218
Na27 0.790 0.049 0.282
Na28 0.746 0.534 0.111
Al1 0.844 0.500 0.665
Al2 0.156 0.000 0.165
Al3 0.156 0.500 0.335
Al4 0.844 0.000 0.835
Al5 0.165 0.500 0.555
Al6 0.835 0.000 0.055
Al7 0.835 0.500 0.445
Al8 0.165 0.000 0.945
O1 0.000 0.500 0.500
O2 0.000 0.000 0.000
O3 0.063 0.508 0.710
O4 0.937 0.992 0.210
O5 0.937 0.492 0.290
O6 0.063 0.008 0.790
O7 0.466 0.785 0.557
O8 0.534 0.715 0.057
O9 0.534 0.215 0.443
O10 0.466 0.285 0.943
O11 0.545 0.212 0.671
O12 0.455 0.288 0.171
O13 0.455 0.788 0.329
O14 0.545 0.712 0.829
O15 0.819 0.782 0.671
O16 0.181 0.718 0.171
O17 0.181 0.218 0.329
O18 0.819 0.282 0.829
O19 0.182 0.214 0.557
O20 0.818 0.286 0.057
O21 0.818 0.786 0.443
O22 0.182 0.714 0.943
O23 0.971 0.501 0.605
O24 0.029 0.999 0.105
O25 0.029 0.499 0.395
O26 0.971 0.001 0.895

[5]
Material: NaAlO2
Method: DFT, meta-GGA SCAN
State: PBEsol geometry

For the energy, the calculation gives -8.96 eV per atom. The crystal system is orthorhombic. As for the space group: Pna2_1 (33). For the raw formation energy, the calculation gives -2.855 eV per atom.

abc: 5.229 5.413 7.016
angles: 90.00 90.00 90.00
Sites, in units of the cell vectors:
Na1 0.485 0.431 0.123
Na2 0.985 0.069 0.623
Na3 0.985 0.569 0.877
Na4 0.485 0.931 0.377
Al1 0.000 0.562 0.374
Al2 0.500 0.438 0.626
Al3 0.500 0.938 0.874
Al4 0.000 0.062 0.126
O1 0.928 0.877 0.327
O2 0.428 0.123 0.673
O3 0.428 0.623 0.827
O4 0.928 0.377 0.173
O5 0.331 0.534 0.421
O6 0.331 0.034 0.079
O7 0.831 0.966 0.921
O8 0.831 0.466 0.579

[6]
Material: NaAl11O17
Method: DFT, meta-GGA SCAN
State: PBEsol geometry

For the energy, the calculation gives -10.02 eV per atom. The calculation puts the energy above the most stable polymorph in this dataset at 0 meV/atom. The crystal system is monoclinic. As for the space group: Cm (8). For the raw formation energy, the calculation gives -3.278 eV per atom.

abc: 5.613 5.613 22.859
angles: 82.98 82.98 60.00
Sites, in units of the cell vectors:
Na1 0.912 0.912 0.262
Na2 0.404 0.404 0.762
Al1 0.998 0.998 0.000
Al2 0.800 0.296 0.607
Al3 0.500 0.500 0.500
Al4 0.795 0.795 0.107
Al5 0.795 0.299 0.107
Al6 0.299 0.795 0.107
Al7 0.673 0.673 0.975
Al8 0.724 0.724 0.824
Al9 0.775 0.775 0.675
Al10 0.296 0.296 0.607
Al11 0.296 0.800 0.607
Al12 0.824 0.824 0.526
Al13 0.175 0.175 0.475
Al14 0.702 0.201 0.394
Al15 0.702 0.702 0.394
Al16 0.225 0.225 0.324
Al17 0.274 0.274 0.175
Al18 0.323 0.323 0.026
Al19 0.699 0.201 0.894
Al20 0.201 0.699 0.894
Al21 0.201 0.201 0.894
Al22 0.201 0.702 0.394
O1 0.830 0.359 0.450
O2 0.547 0.547 0.358
O3 0.949 0.452 0.144
O4 0.647 0.647 0.055
O5 0.858 0.858 0.950
O6 0.858 0.329 0.950
O7 0.329 0.858 0.950
O8 0.543 0.055 0.854
O9 0.543 0.543 0.854
O10 0.046 0.046 0.858
O11 0.752 0.752 0.750
O12 0.953 0.953 0.644
O13 0.953 0.450 0.644
O14 0.450 0.953 0.644
O15 0.639 0.172 0.550
O16 0.639 0.639 0.550
O17 0.148 0.148 0.555
O18 0.851 0.851 0.445
O19 0.359 0.359 0.450
O20 0.359 0.830 0.450
O21 0.556 0.044 0.354
O22 0.044 0.044 0.354
O23 0.044 0.556 0.354
O24 0.249 0.249 0.250
O25 0.951 0.951 0.144
O26 0.452 0.452 0.144
O27 0.452 0.949 0.144
O28 0.671 0.138 0.050
O29 0.138 0.671 0.050
O30 0.138 0.138 0.050
O31 0.350 0.350 0.945
O32 0.055 0.543 0.854
O33 0.452 0.452 0.644
O34 0.172 0.639 0.550

[7]
Material: NaAlO2
Method: DFT, meta-GGA SCAN
State: PBEsol geometry

For the energy, the calculation gives -8.95 eV per atom. The crystal system is tetragonal. As for the space group: I-42d (122). For the raw formation energy, the calculation gives -2.844 eV per atom.

abc: 5.042 5.249 5.042
angles: 61.30 90.00 118.70
Sites, in units of the cell vectors:
Na1 0.250 0.500 0.250
Na2 0.500 0.000 0.500
Al1 0.750 0.500 0.750
Al2 0.000 0.000 0.000
O1 0.719 0.750 0.375
O2 0.031 0.750 0.875
O3 0.875 0.250 0.719
O4 0.375 0.250 0.031

[8]
Material: NaAl11O17
Method: DFT, meta-GGA SCAN
State: PBEsol geometry

For the energy, the calculation gives -10.01 eV per atom. The calculation puts the energy above the most stable polymorph in this dataset at 5 meV/atom. The crystal system is hexagonal. As for the space group: P6_3/mmc (194). For the raw formation energy, the calculation gives -3.273 eV per atom.

abc: 5.616 5.616 22.602
angles: 90.00 90.00 120.00
Sites, in units of the cell vectors:
Na1 0.000 0.000 0.250
Na2 0.000 0.000 0.750
Al1 0.168 0.832 0.606
Al2 0.168 0.832 0.894
Al3 0.333 0.667 0.325
Al4 0.333 0.667 0.474
Al5 0.000 0.000 0.500
Al6 0.000 0.000 0.000
Al7 0.333 0.667 0.175
Al8 0.333 0.667 0.026
Al9 0.664 0.832 0.894
Al10 0.664 0.832 0.606
Al11 0.832 0.664 0.394
Al12 0.832 0.664 0.106
Al13 0.168 0.336 0.894
Al14 0.168 0.336 0.606
Al15 0.336 0.168 0.394
Al16 0.336 0.168 0.106
Al17 0.667 0.333 0.825
Al18 0.667 0.333 0.675
Al19 0.667 0.333 0.974
Al20 0.667 0.333 0.526
Al21 0.832 0.168 0.394
Al22 0.832 0.168 0.106
O1 0.499 0.997 0.644
O2 0.501 0.003 0.144
O3 0.501 0.003 0.356
O4 0.156 0.844 0.450
O5 0.499 0.997 0.856
O6 0.156 0.844 0.050
O7 0.333 0.667 0.250
O8 0.689 0.844 0.050
O9 0.000 0.000 0.644
O10 0.000 0.000 0.356
O11 0.000 0.000 0.144
O12 0.000 0.000 0.856
O13 0.333 0.667 0.554
O14 0.333 0.667 0.946
O15 0.689 0.844 0.450
O16 0.844 0.689 0.950
O17 0.844 0.689 0.550
O18 0.499 0.501 0.644
O19 0.501 0.499 0.144
O20 0.501 0.499 0.356
O21 0.499 0.501 0.856
O22 0.156 0.311 0.450
O23 0.156 0.311 0.050
O24 0.667 0.333 0.054
O25 0.003 0.501 0.856
O26 0.997 0.499 0.144
O27 0.997 0.499 0.356
O28 0.003 0.501 0.644
O29 0.667 0.333 0.750
O30 0.667 0.333 0.446
O31 0.311 0.156 0.950
O32 0.311 0.156 0.550
O33 0.844 0.156 0.550
O34 0.844 0.156 0.950

[9]
Material: NaAlO2
Method: DFT, meta-GGA SCAN
State: PBEsol geometry

For the energy, the calculation gives -8.94 eV per atom. The crystal system is trigonal. As for the space group: R-3m (166). For the raw formation energy, the calculation gives -2.831 eV per atom.

abc: 2.874 2.874 5.558
angles: 75.02 75.02 60.00
Sites, in units of the cell vectors:
Na1 0.000 0.000 0.000
Al1 0.500 0.500 0.500
O1 0.770 0.770 0.689
O2 0.230 0.230 0.311

[10]
Material: NaAl11O17
Method: DFT, meta-GGA SCAN
State: PBEsol geometry

For the energy, the calculation gives -10.02 eV per atom. The calculation puts the energy above the most stable polymorph in this dataset at 0 meV/atom. The crystal system is trigonal. As for the space group: R3m (160). For the raw formation energy, the calculation gives -3.278 eV per atom.

abc: 5.613 5.613 11.769
angles: 76.20 76.20 60.00
Sites, in units of the cell vectors:
Na1 0.175 0.175 0.476
Al1 0.407 0.903 0.787
Al2 0.000 0.000 0.000
Al3 0.903 0.903 0.787
Al4 0.903 0.407 0.787
Al5 0.550 0.550 0.351
Al6 0.450 0.450 0.650
Al7 0.650 0.650 0.050
Al8 0.351 0.351 0.948
Al9 0.096 0.595 0.212
Al10 0.096 0.096 0.212
Al11 0.595 0.096 0.212
O1 0.703 0.703 0.890
O2 0.906 0.906 0.283
O3 0.189 0.722 0.901
O4 0.280 0.810 0.100
O5 0.399 0.910 0.292
O6 0.094 0.597 0.712
O7 0.399 0.399 0.292
O8 0.500 0.500 0.501
O9 0.810 0.810 0.100
O10 0.189 0.189 0.901
O11 0.597 0.597 0.712
O12 0.910 0.399 0.292
O13 0.597 0.094 0.712
O14 0.722 0.189 0.901
O15 0.810 0.280 0.100
O16 0.297 0.297 0.110
O17 0.096 0.096 0.713

[11]
Material: NaAlP2O7
Method: DFT, meta-GGA SCAN
State: PBEsol geometry

For the energy, the calculation gives -9.70 eV per atom. The crystal system is monoclinic. As for the space group: P2_1/c (14). For the raw formation energy, the calculation gives -2.755 eV per atom.

abc: 7.234 7.700 9.336
angles: 90.00 111.74 90.00
Sites, in units of the cell vectors:
Na1 0.291 0.475 0.298
Na2 0.709 0.975 0.202
Na3 0.709 0.525 0.702
Na4 0.291 0.025 0.798
Al1 0.740 0.991 0.753
Al2 0.260 0.491 0.747
Al3 0.260 0.009 0.247
Al4 0.740 0.509 0.253
P1 0.927 0.754 0.048
P2 0.073 0.254 0.452
P3 0.073 0.246 0.952
P4 0.927 0.746 0.548
P5 0.329 0.707 0.046
P6 0.671 0.207 0.454
P7 0.671 0.293 0.954
P8 0.329 0.793 0.546
O1 0.313 0.694 0.879
O2 0.687 0.194 0.621
O3 0.687 0.306 0.121
O4 0.313 0.806 0.379
O5 0.808 0.791 0.879
O6 0.192 0.291 0.621
O7 0.192 0.209 0.121
O8 0.808 0.709 0.379
O9 0.356 0.897 0.100
O10 0.644 0.397 0.400
O11 0.644 0.103 0.900
O12 0.356 0.603 0.600
O13 0.000 0.919 0.145
O14 0.000 0.419 0.355
O15 0.000 0.081 0.855
O16 0.000 0.581 0.645
O17 0.122 0.856 0.560
O18 0.878 0.356 0.940
O19 0.878 0.144 0.440
O20 0.122 0.644 0.060
O21 0.477 0.916 0.657
O22 0.523 0.416 0.843
O23 0.523 0.084 0.343
O24 0.477 0.584 0.157
O25 0.813 0.865 0.613
O26 0.187 0.365 0.887
O27 0.187 0.135 0.387
O28 0.813 0.635 0.113